No. 1
# CaNdGaPd, optimized geometry, DFT PBE
data_CaNdGaPd
_cell_length_a 5.140
_cell_length_b 5.140
_cell_length_c 5.140
_cell_angle_alpha 60.00
_cell_angle_beta 60.00
_cell_angle_gamma 60.00
_symmetry_space_group_name_H-M 'P 1'
_symmetry_Int_Tables_number 1
loop_
_symmetry_equiv_pos_as_xyz
'x,y,z'
loop_
_atom_site_label
_atom_site_type_symbol
_atom_site_fract_x
_atom_site_fract_y
_atom_site_fract_z
_atom_site_occupancy
Ca1 Ca 0.500 0.500 0.500 1
Nd1 Nd 0.000 0.000 0.000 1
Ga1 Ga 0.250 0.250 0.250 1
Pd1 Pd 0.750 0.750 0.750 1
# Distance to the lowest polymorph of the same formula ... 31 meV/atom
# Theoretical density ... 6.235 g/cm3
# Calculated formation energy ... -0.59 eV per atom

=====

No. 2
# SmY2In, optimized geometry, DFT PBE
data_SmY2In
_cell_length_a 3.628
_cell_length_b 3.628
_cell_length_c 11.086
_cell_angle_alpha 80.58
_cell_angle_beta 80.58
_cell_angle_gamma 60.00
_symmetry_space_group_name_H-M 'P 1'
_symmetry_Int_Tables_number 1
loop_
_symmetry_equiv_pos_as_xyz
'x,y,z'
loop_
_atom_site_label
_atom_site_type_symbol
_atom_site_fract_x
_atom_site_fract_y
_atom_site_fract_z
_atom_site_occupancy
Sm1 Sm 0.500 0.500 0.500 1
Y1 Y 0.077 0.077 0.769 1
Y2 Y 0.257 0.257 0.230 1
In1 In 0.666 0.666 0.001 1
# Distance to the lowest polymorph of the same formula ... 121 meV/atom
# Theoretical density ... 5.929 g/cm3
# Calculated formation energy ... -0.15 eV per atom

=====

No. 3
# LaBiPb2, optimized geometry, DFT PBE
data_LaBiPb2
_cell_length_a 3.620
_cell_length_b 3.620
_cell_length_c 12.240
_cell_angle_alpha 81.50
_cell_angle_beta 81.50
_cell_angle_gamma 60.00
_symmetry_space_group_name_H-M 'P 1'
_symmetry_Int_Tables_number 1
loop_
_symmetry_equiv_pos_as_xyz
'x,y,z'
loop_
_atom_site_label
_atom_site_type_symbol
_atom_site_fract_x
_atom_site_fract_y
_atom_site_fract_z
_atom_site_occupancy
Pb1 Pb 0.091 0.091 0.726 1
Pb2 Pb 0.909 0.909 0.274 1
Bi1 Bi 0.500 0.500 0.500 1
La1 La 0.000 0.000 0.000 1
# Theoretical density ... 9.247 g/cm3
# Calculated formation energy ... 0.13 eV per atom

=====

No. 4
# CaIn2Co2, optimized geometry, DFT PBE
data_CaIn2Co2
_cell_length_a 7.617
_cell_length_b 7.617
_cell_length_c 3.088
_cell_angle_alpha 90.00
_cell_angle_beta 90.00
_cell_angle_gamma 90.00
_symmetry_space_group_name_H-M 'P 1'
_symmetry_Int_Tables_number 1
loop_
_symmetry_equiv_pos_as_xyz
'x,y,z'
loop_
_atom_site_label
_atom_site_type_symbol
_atom_site_fract_x
_atom_site_fract_y
_atom_site_fract_z
_atom_site_occupancy
Ca1 Ca 0.000 0.000 0.000 1
Ca2 Ca 0.500 0.500 0.000 1
Co1 Co 0.359 0.859 0.000 1
Co2 Co 0.859 0.641 0.000 1
Co3 Co 0.641 0.141 0.000 1
Co4 Co 0.141 0.359 0.000 1
In1 In 0.152 0.652 0.500 1
In2 In 0.652 0.848 0.500 1
In3 In 0.848 0.348 0.500 1
In4 In 0.348 0.152 0.500 1
# Distance to the lowest polymorph of the same formula ... 11 meV/atom
# Theoretical density ... 7.183 g/cm3
# Calculated formation energy ... 0.04 eV per atom

=====

No. 5
# MoIrPt2, optimized geometry, DFT PBE
data_MoIrPt2
_cell_length_a 4.858
_cell_length_b 4.858
_cell_length_c 2.770
_cell_angle_alpha 90.00
_cell_angle_beta 90.00
_cell_angle_gamma 110.71
_symmetry_space_group_name_H-M 'P 1'
_symmetry_Int_Tables_number 1
loop_
_symmetry_equiv_pos_as_xyz
'x,y,z'
loop_
_atom_site_label
_atom_site_type_symbol
_atom_site_fract_x
_atom_site_fract_y
_atom_site_fract_z
_atom_site_occupancy
Ir1 Ir 0.500 0.000 0.500 1
Mo1 Mo 0.000 0.500 0.500 1
Pt1 Pt 0.000 0.000 0.000 1
Pt2 Pt 0.500 0.500 0.000 1
# Distance to the lowest polymorph of the same formula ... 152 meV/atom
# Theoretical density ... 18.425 g/cm3
# Calculated formation energy ... -0.10 eV per atom

=====

No. 6
# Hf2MnPt2, optimized geometry, DFT PBE
data_Hf2MnPt2
_cell_length_a 6.706
_cell_length_b 6.706
_cell_length_c 3.965
_cell_angle_alpha 90.00
_cell_angle_beta 90.00
_cell_angle_gamma 90.00
_symmetry_space_group_name_H-M 'P 1'
_symmetry_Int_Tables_number 1
loop_
_symmetry_equiv_pos_as_xyz
'x,y,z'
loop_
_atom_site_label
_atom_site_type_symbol
_atom_site_fract_x
_atom_site_fract_y
_atom_site_fract_z
_atom_site_occupancy
Mn1 Mn 0.000 0.000 0.000 1
Mn2 Mn 0.500 0.500 0.000 1
Hf1 Hf 0.173 0.673 0.500 1
Hf2 Hf 0.673 0.827 0.500 1
Hf3 Hf 0.827 0.327 0.500 1
Hf4 Hf 0.327 0.173 0.500 1
Pt1 Pt 0.362 0.862 0.000 1
Pt2 Pt 0.862 0.638 0.000 1
Pt3 Pt 0.638 0.138 0.000 1
Pt4 Pt 0.138 0.362 0.000 1
# Theoretical density ... 14.941 g/cm3
# Calculated formation energy ... -0.49 eV per atom

=====

No. 7
# Ca2TiFe, optimized geometry, DFT PBE
data_Ca2TiFe
_cell_length_a 5.037
_cell_length_b 5.037
_cell_length_c 5.037
_cell_angle_alpha 60.00
_cell_angle_beta 60.00
_cell_angle_gamma 60.00
_symmetry_space_group_name_H-M 'P 1'
_symmetry_Int_Tables_number 1
loop_
_symmetry_equiv_pos_as_xyz
'x,y,z'
loop_
_atom_site_label
_atom_site_type_symbol
_atom_site_fract_x
_atom_site_fract_y
_atom_site_fract_z
_atom_site_occupancy
Ca1 Ca 0.250 0.250 0.250 1
Ca2 Ca 0.750 0.750 0.750 1
Fe1 Fe 0.500 0.500 0.500 1
Ti1 Ti 0.000 0.000 0.000 1
# Distance to the lowest polymorph of the same formula ... 408 meV/atom
# Theoretical density ... 3.379 g/cm3
# Calculated formation energy ... 0.97 eV per atom

=====

No. 8
# MgSc4Tl, optimized geometry, DFT PBE
data_MgSc4Tl
_cell_length_a 5.945
_cell_length_b 5.945
_cell_length_c 5.945
_cell_angle_alpha 60.00
_cell_angle_beta 60.00
_cell_angle_gamma 60.00
_symmetry_space_group_name_H-M 'P 1'
_symmetry_Int_Tables_number 1
loop_
_symmetry_equiv_pos_as_xyz
'x,y,z'
loop_
_atom_site_label
_atom_site_type_symbol
_atom_site_fract_x
_atom_site_fract_y
_atom_site_fract_z
_atom_site_occupancy
Mg1 Mg 0.000 0.000 0.000 1
Sc1 Sc 0.875 0.375 0.375 1
Sc2 Sc 0.375 0.375 0.875 1
Sc3 Sc 0.375 0.875 0.375 1
Sc4 Sc 0.375 0.375 0.375 1
Tl1 Tl 0.750 0.750 0.750 1
# Distance to the lowest polymorph of the same formula ... 337 meV/atom
# Theoretical density ... 4.565 g/cm3
# Calculated formation energy ... 0.19 eV per atom

=====

No. 9
# K4CeEr3O8, optimized geometry, DFT PBE
data_K4CeEr3O8
_cell_length_a 7.000
_cell_length_b 7.454
_cell_length_c 7.000
_cell_angle_alpha 118.00
_cell_angle_beta 120.00
_cell_angle_gamma 90.00
_symmetry_space_group_name_H-M 'P 1'
_symmetry_Int_Tables_number 1
loop_
_symmetry_equiv_pos_as_xyz
'x,y,z'
loop_
_atom_site_label
_atom_site_type_symbol
_atom_site_fract_x
_atom_site_fract_y
_atom_site_fract_z
_atom_site_occupancy
K1 K 0.500 0.000 0.000 1
K2 K 0.500 0.000 0.500 1
K3 K 0.000 0.000 0.000 1
K4 K 0.000 0.000 0.500 1
Ce1 Ce 0.000 0.500 0.000 1
Er1 Er 0.500 0.500 0.000 1
Er2 Er 0.500 0.500 0.500 1
Er3 Er 0.000 0.500 0.500 1
O1 O 0.233 0.685 0.951 1
O2 O 0.233 0.685 0.467 1
O3 O 0.272 0.316 0.544 1
O4 O 0.718 0.685 0.951 1
O5 O 0.282 0.315 0.049 1
O6 O 0.728 0.684 0.456 1
O7 O 0.767 0.315 0.533 1
O8 O 0.767 0.315 0.049 1
# Theoretical density ... 5.787 g/cm3
# Raw formation energy ... -2.734 eV/atom

=====

No. 10
# Pm2Al4AgPt3, optimized geometry, DFT PBE
data_Pm2Al4AgPt3
_cell_length_a 4.292
_cell_length_b 4.292
_cell_length_c 10.560
_cell_angle_alpha 90.00
_cell_angle_beta 90.00
_cell_angle_gamma 90.00
_symmetry_space_group_name_H-M 'P 1'
_symmetry_Int_Tables_number 1
loop_
_symmetry_equiv_pos_as_xyz
'x,y,z'
loop_
_atom_site_label
_atom_site_type_symbol
_atom_site_fract_x
_atom_site_fract_y
_atom_site_fract_z
_atom_site_occupancy
Pm1 Pm 0.500 0.000 0.243 1
Pm2 Pm 0.000 0.500 0.757 1
Al1 Al 0.500 0.500 0.000 1
Al2 Al 0.000 0.000 0.000 1
Al3 Al 0.500 0.000 0.634 1
Al4 Al 0.000 0.500 0.366 1
Ag1 Ag 0.500 0.500 0.500 1
Pt1 Pt 0.000 0.000 0.500 1
Pt2 Pt 0.500 0.000 0.869 1
Pt3 Pt 0.000 0.500 0.131 1
# Theoretical density ... 9.313 g/cm3
# Calculated formation energy ... -0.95 eV per atom

=====

No. 11
# Ni2RuRh6, optimized geometry, DFT PBE
data_Ni2RuRh6
_cell_length_a 4.902
_cell_length_b 7.241
_cell_length_c 7.241
_cell_angle_alpha 99.56
_cell_angle_beta 96.53
_cell_angle_gamma 96.53
_symmetry_space_group_name_H-M 'P 1'
_symmetry_Int_Tables_number 1
loop_
_symmetry_equiv_pos_as_xyz
'x,y,z'
loop_
_atom_site_label
_atom_site_type_symbol
_atom_site_fract_x
_atom_site_fract_y
_atom_site_fract_z
_atom_site_occupancy
Ni1 Ni 0.134 0.390 0.360 1
Ni2 Ni 0.366 0.640 0.610 1
Ni3 Ni 0.866 0.610 0.640 1
Ni4 Ni 0.634 0.360 0.390 1
Ru1 Ru 0.250 0.901 0.099 1
Ru2 Ru 0.750 0.099 0.901 1
Rh1 Rh 0.519 0.354 0.743 1
Rh2 Rh 0.981 0.257 0.646 1
Rh3 Rh 0.481 0.646 0.257 1
Rh4 Rh 0.019 0.743 0.354 1
Rh5 Rh 0.686 0.911 0.564 1
Rh6 Rh 0.814 0.436 0.089 1
Rh7 Rh 0.314 0.089 0.436 1
Rh8 Rh 0.186 0.564 0.911 1
Rh9 Rh 0.308 0.247 0.049 1
Rh10 Rh 0.192 0.951 0.753 1
Rh11 Rh 0.692 0.753 0.951 1
Rh12 Rh 0.808 0.049 0.247 1
# Distance to the lowest polymorph of the same formula ... 0 meV/atom
# Theoretical density ... 11.126 g/cm3
# Calculated formation energy ... 0.19 eV per atom

=====

No. 12
# CsNa2IBr2, optimized geometry, DFT PBE
data_CsNa2IBr2
_cell_length_a 7.560
_cell_length_b 8.966
_cell_length_c 7.564
_cell_angle_alpha 97.38
_cell_angle_beta 90.00
_cell_angle_gamma 90.00
_symmetry_space_group_name_H-M 'P 1'
_symmetry_Int_Tables_number 1
loop_
_symmetry_equiv_pos_as_xyz
'x,y,z'
loop_
_atom_site_label
_atom_site_type_symbol
_atom_site_fract_x
_atom_site_fract_y
_atom_site_fract_z
_atom_site_occupancy
Cs1 Cs 0.750 0.424 0.777 1
Cs2 Cs 0.250 0.576 0.223 1
Na1 Na 0.527 0.098 0.261 1
Na2 Na 0.973 0.098 0.261 1
Na3 Na 0.027 0.902 0.739 1
Na4 Na 0.473 0.902 0.739 1
I1 I 0.250 0.168 0.965 1
I2 I 0.750 0.832 0.035 1
Br1 Br 0.250 0.954 0.429 1
Br2 Br 0.250 0.633 0.741 1
Br3 Br 0.750 0.046 0.571 1
Br4 Br 0.750 0.367 0.259 1
# Theoretical density ... 3.041 g/cm3
# Raw formation energy ... -1.482 eV/atom

=====

Question: What is the formula in the twelfth record?
Answer: CsNa2IBr2

=====

Question: Look up the theoretical density of the tenth one.
Answer: 9.313 g/cm3